1.
A PBEsol-optimized structure of LiLaMg2Te. Source: Alexandria, functional SCAN.

abc: 5.582 5.582 4.867
angles: 90.00 90.00 90.00
Space group P4/mmm (No. 123)
Asymmetric unit:
Li  0.000  0.000  0.000 x1
La  0.500  0.500  0.000 x1
Mg  0.000  0.500  0.500 x2
Te  0.000  0.000  0.500 x1

Output
* DOS at the Fermi energy: 3.672 states/eV per cell
* V: 152 Å³ per cell
* formation energy without anion corrections: 0.02 eV/atom
* theoretical density: 3.53 g cm⁻³



2.
A PBEsol-optimized structure of LiLa2Mn. Source: Alexandria, functional SCAN.

abc: 3.6411 3.6411 28.1607
angles: 90.00 90.00 120.00
Space group R-3m (No. 166, hexagonal axes)
Asymmetric unit:
Li  0.0000  0.0000  0.0000 x3
La  0.0000  0.0000  0.2328 x6
Mn  0.0000  0.0000  0.5000 x3

Output
* DOS at the Fermi energy: 13.221 states/eV per cell
* formation energy: 283.8 meV per atom
* V: 323 Å³ per cell
* theoretical density: 5.23 g cm⁻³



3.
A PBEsol-optimized structure of LiLa2Mn. Source: Alexandria, functional SCAN.

abc: 3.531 5.115 10.807
angles: 90.00 90.00 90.00
Space group Imm2 (No. 44)
Asymmetric unit:
Li  0.000  0.000  0.000 x2
La  0.000  0.000  0.432 x2
La  0.000  0.500  0.218 x2
Mn  0.000  0.500  0.691 x2

Output
* DOS at the Fermi energy: 7.165 states/eV per cell
* formation energy: 77.5 meV per atom
* V: 195 Å³ per cell
* theoretical density: 5.78 g cm⁻³